DFT (GGA+U) results for a geometry-optimized VO2 structure.

Calculated values
* calculated total energy: -7.633 eV/atom

a = 2.9745 Å, b = 9.4324 Å, c = 9.8971 Å
α = 90.00°, β = 90.00°, γ = 90.00°
With the nearest neighbours (Å) after each atom.
Space group Cmcm (No. 63)
Symmetry-distinct sites (fractional):
V1 0.0000 0.1353 0.0759  4 O 1.81-1.99
O1 0.0000 0.0750 0.2500  2 V 1.81
O2 0.0000 0.2353 0.6015  3 V 1.94-1.99
O3 0.0000 0.5000 0.0000  4 V 2.10